Density functional theory data (PBE) for a geometry-optimized FeNi2Ru structure.

The value obtained for the density is 9.472 g/cm3. The value obtained for the calculated total energy is -7.25 eV per atom.

Geometry as CIF:
```
data_FeNi2Ru
_cell_length_a 2.5471
_cell_length_b 3.6943
_cell_length_c 5.1104
_cell_angle_alpha 90.00
_cell_angle_beta 90.00
_cell_angle_gamma 90.00
_symmetry_space_group_name_H-M 'P m m m'
_symmetry_Int_Tables_number 47
_symmetry_space_group_name_Hall '-P 2 2'
loop_
_atom_site_label
_atom_site_type_symbol
_atom_site_fract_x
_atom_site_fract_y
_atom_site_fract_z
Fe1 Fe 0.0000 0.0000 0.0000
Ni1 Ni 0.5000 0.5000 0.2482
Ru1 Ru 0.0000 0.0000 0.5000
```

***

Density functional theory data (PBE) for a geometry-optimized ErPaBi2N structure.

The value obtained for the density is 10.893 g/cm3. As for the formation energy from raw total energies: -0.88 eV/atom.

Geometry as CIF:
```
data_ErPaBi2N
_cell_length_a 4.1392
_cell_length_b 4.1392
_cell_length_c 14.7747
_cell_angle_alpha 90.00
_cell_angle_beta 90.00
_cell_angle_gamma 90.00
_symmetry_space_group_name_H-M 'P 4/n m m'
_symmetry_Int_Tables_number 129
loop_
_symmetry_equiv_pos_as_xyz
'x,y,z'
'-x,-y,-z'
'-y+1/2,x,z'
'y+1/2,-x,-z'
'-x+1/2,-y+1/2,z'
'x+1/2,y+1/2,-z'
'y,-x+1/2,z'
'-y,x+1/2,-z'
'x+1/2,-y,-z'
'-x+1/2,y,z'
'-y,-x,-z'
'y,x,z'
'-x,y+1/2,-z'
'x,-y+1/2,z'
'y+1/2,x+1/2,-z'
'-y+1/2,-x+1/2,z'
loop_
_atom_site_label
_atom_site_type_symbol
_atom_site_fract_x
_atom_site_fract_y
_atom_site_fract_z
Er1 Er 0.2500 0.2500 0.0829
Pa1 Pa 0.2500 0.2500 0.5726
Bi1 Bi 0.2500 0.2500 0.3010
Bi2 Bi 0.2500 0.2500 0.8600
N1 N 0.2500 0.7500 0.5000
```

***

For the records above, the corresponding total magnetic moment values read 4.0, 0.0 μB per cell.